No. 1
# KGaGe

An optimized crystal structure of KGaGe (PBE, Alexandria).

volume	174.0	Å³ per cell
energy of formation	-0.184	eV per atom

abc: 4.2824 4.2824 10.9531
angles: 90.00 90.00 120.00
Last column: nearest neighbours and their distance in Å.
Positions (direct):
K: 0.0000 0.0000 0.0000  6 Ge 3.69, 6 Ga 3.69
Ge: 0.3333 0.6667 0.2500  3 Ga 2.47
Ge: 0.6667 0.3333 0.7500  3 Ga 2.47
K: 0.0000 0.0000 0.5000  6 Ge 3.69, 6 Ga 3.69
Ga: 0.3333 0.6667 0.7500  3 Ge 2.47
Ga: 0.6667 0.3333 0.2500  3 Ge 2.47

No. 2
# NaAg2Bi2

An optimized crystal structure of NaAg2Bi2 (PBE, Alexandria).

volume	258.4	Å³ per cell
energy of formation	-0.033	eV per atom

abc: 8.5794 8.5794 3.5100
angles: 90.00 90.00 90.00
Last column: nearest neighbours and their distance in Å.
Positions (direct):
Na: 0.0000 0.0000 0.0000  4 Ag 3.41, 2 Na 3.51, 8 Bi 3.62
Ag: 0.8779 0.6221 0.0000  1 Ag 2.96, 6 Bi 3.03-3.12
Ag: 0.6221 0.1221 0.0000  1 Ag 2.96, 6 Bi 3.03-3.12
Na: 0.5000 0.5000 0.0000  4 Ag 3.41, 2 Na 3.51, 8 Bi 3.62
Bi: 0.6741 0.8259 0.5000  6 Ag 3.03-3.12
Bi: 0.8259 0.3259 0.5000  6 Ag 3.03-3.12
Bi: 0.1741 0.6741 0.5000  6 Ag 3.03-3.12
Bi: 0.3259 0.1741 0.5000  6 Ag 3.03-3.12
Ag: 0.3779 0.8779 0.0000  1 Ag 2.96, 6 Bi 3.03-3.12
Ag: 0.1221 0.3779 0.0000  1 Ag 2.96, 6 Bi 3.03-3.12

No. 3
# LiScZnNi

An optimized crystal structure of LiScZnNi (PBE, Alexandria).

volume	58.9	Å³ per cell
energy of formation	-0.260	eV per atom

abc: 4.3683 4.3683 4.3683
angles: 60.00 60.00 60.00
Last column: nearest neighbours and their distance in Å.
Positions (direct):
Li: 0.0000 0.0000 0.0000  4 Sc 2.68, 4 Zn 2.68
Ni: 0.5000 0.5000 0.5000  4 Zn 2.68, 4 Sc 2.68
Sc: 0.7500 0.7500 0.7500  4 Li 2.68, 4 Ni 2.68
Zn: 0.2500 0.2500 0.2500  4 Li 2.68, 4 Ni 2.68

No. 4
# CoSn2Pt

An optimized crystal structure of CoSn2Pt (PBE, Alexandria).

volume	69.9	Å³ per cell
energy of formation	0.014	eV per atom

abc: 4.6242 4.6242 4.6242
angles: 60.00 60.00 60.00
Last column: nearest neighbours and their distance in Å.
Positions (direct):
Co: 0.0000 0.0000 0.0000  8 Sn 2.83
Sn: 0.2500 0.2500 0.2500  4 Pt 2.83, 4 Co 2.83
Pt: 0.5000 0.5000 0.5000  8 Sn 2.83
Sn: 0.7500 0.7500 0.7500  4 Pt 2.83, 4 Co 2.83

No. 5
# CeTcI2

An optimized crystal structure of CeTcI2 (PBE, Alexandria).

E_form (uncorrected)	162.8	meV per atom
volume	105.5	Å³ per cell

abc: 4.6417 4.6417 6.2559
angles: 68.22 68.22 60.00
Last column: nearest neighbours and their distance in Å.
Positions (direct):
I: 0.2674 0.2674 0.1979  3 Tc 2.90, 3 Ce 3.18
Tc: 0.0000 0.0000 0.0000  6 I 2.90
I: 0.7326 0.7326 0.8021  3 Tc 2.90, 3 Ce 3.18
Ce: 0.5000 0.5000 0.5000  6 I 3.18

No. 6
# Zr2CrNiRh

An optimized crystal structure of Zr2CrNiRh (PBE, Alexandria).

volume	112.7	Å³ per cell
energy of formation	0.682	eV per atom

abc: 4.9237 4.6495 4.9237
angles: 90.00 90.00 90.00
Last column: nearest neighbours and their distance in Å.
Positions (direct):
Zr: 0.0000 0.0000 0.5000  2 Rh 2.46
Cr: 0.5000 0.5000 0.5000  8 Zr 3.39, 4 Ni 3.48
Zr: 0.5000 0.0000 0.0000  2 Rh 2.46
Rh: 0.0000 0.0000 0.0000  2 Ni 2.32, 4 Zr 2.46
Ni: 0.0000 0.5000 0.0000  2 Rh 2.32

No. 7
# Ta2Mo2As

An optimized crystal structure of Ta2Mo2As (PBE, Alexandria).

volume	91.4	Å³ per cell
energy of formation	0.436	eV per atom

abc: 3.4569 3.4569 8.0298
angles: 77.57 77.57 90.00
Last column: nearest neighbours and their distance in Å.
Positions (direct):
Mo: 0.2500 0.7500 0.5000  4 Mo 2.44
Ta: 0.5945 0.5945 0.8111  4 As 2.84, 1 Ta 2.89, 4 Mo 2.94
As: 0.0000 0.0000 0.0000  8 Ta 2.84
Ta: 0.4055 0.4055 0.1889  4 As 2.84, 1 Ta 2.89, 4 Mo 2.94
Mo: 0.7500 0.2500 0.5000  4 Mo 2.44

No. 8
# AcPaSb

An optimized crystal structure of AcPaSb (PBE, Alexandria).

E_form (uncorrected)	-182.9	meV per atom
volume	97.3	Å³ per cell

abc: 4.0575 4.0575 6.5682
angles: 107.99 107.99 90.00
Last column: nearest neighbours and their distance in Å.
Positions (direct):
Ac: 0.3438 0.3438 0.6875  5 Pa 3.44-3.79, 5 Sb 3.55-3.81
Sb: 0.0214 0.0214 0.0428  4 Pa 3.17
Pa: 0.6348 0.6348 0.2696  4 Sb 3.17, 1 Ac 3.44